No. 1
Crystalline NaAcTl2Cl6 at its relaxed geometry, computed with PBE.

```
NaAcTl2Cl6
1.0
7.556 0.000 0.000
0.000 7.956 0.000
-7.323 0.000 10.885
Na Ac Tl Cl
2 2 4 12
Cartesian
0.000 0.000 0.000
-3.661 3.978 5.443
0.117 0.000 5.443
3.778 3.978 0.000
-3.789 0.550 8.099
-0.128 3.428 2.657
0.361 4.528 8.228
4.022 7.406 2.786
-2.234 1.563 4.847
-5.895 2.415 10.290
-1.368 5.575 4.768
-5.030 6.359 10.210
0.945 0.317 2.696
-2.716 3.661 8.139
2.949 4.295 2.746
-0.712 7.639 8.189
5.263 1.597 0.675
1.602 2.381 6.117
6.129 5.540 0.595
2.467 6.393 6.038
```

Results
As for the crystal system: monoclinic. The calculation puts the uncorrected formation energy at -1.741 eV/atom.

---

No. 2
Crystalline PmGdScSn at its relaxed geometry, computed with PBE.

```
PmGdScSn
1.0
7.617 0.000 0.000
0.000 7.617 0.000
0.000 0.000 7.617
Pm Gd Sc Sn
4 4 4 4
Cartesian
0.000 0.000 0.000
0.000 3.808 3.808
3.808 0.000 3.808
3.808 3.808 0.000
0.000 0.000 3.808
0.000 3.808 0.000
3.808 0.000 0.000
3.808 3.808 3.808
1.904 1.904 5.713
1.904 5.713 1.904
5.713 1.904 1.904
5.713 5.713 5.713
1.904 1.904 1.904
1.904 5.713 5.713
5.713 1.904 5.713
5.713 5.713 1.904
```

Results
As for the crystal system: cubic. The total energy is -7.566 eV per atom.

---

No. 3
Crystalline Li4YZr2 at its relaxed geometry, computed with PBE.

```
Li4YZr2
1.0
5.063 0.000 0.000
0.000 5.063 0.000
0.000 0.000 15.359
Li Y Zr
8 2 4
Cartesian
0.000 0.000 3.121
0.000 0.000 12.239
0.000 2.531 0.000
0.000 2.531 7.680
2.531 0.000 0.000
2.531 0.000 7.680
2.531 2.531 4.559
2.531 2.531 10.800
0.000 0.000 0.000
2.531 2.531 7.680
0.000 0.000 6.315
0.000 0.000 9.045
2.531 2.531 1.365
2.531 2.531 13.994
```

Results
As for the crystal system: tetragonal. The total energy is -3.601 eV per atom.

---

No. 4
Crystalline Nd4Y10Er at its relaxed geometry, computed with PBE.

```
Nd4Y10Er
1.0
-5.701 5.701 3.958
5.701 -5.701 3.958
5.701 5.701 -3.958
Nd Y Er
4 10 1
Cartesian
2.607 2.607 0.000
3.094 -3.094 3.958
-3.094 3.094 3.958
3.094 3.094 3.958
5.701 3.313 -1.659
5.701 0.000 1.979
3.313 5.701 -1.659
2.388 0.000 2.299
0.000 2.388 2.299
5.701 3.313 1.659
3.313 5.701 1.659
2.388 0.000 5.617
0.000 5.701 1.979
0.000 2.388 5.617
0.000 0.000 0.000
```

Results
As for the crystal system: tetragonal. The total energy is -5.616 eV per atom.